A relaxed Li5Pr3N3 crystal, computed with PBE.

**E**: -53.94 eV per cell
**Size of the total moment**: 0.01 μB per formula unit
**Space group**: P-62m, No. 189

abc: 6.632 6.632 4.784
angles: 90.00 90.00 120.00
Fractional coordinates of all 11 atoms:
Li  0.000  0.291  0.000
Li  0.291  0.000  0.000
Li  0.333  0.667  0.000
Li  0.667  0.333  0.000
Li  0.709  0.709  0.000
Pr  0.000  0.664  0.500
Pr  0.336  0.336  0.500
Pr  0.664  0.000  0.500
N  0.000  0.609  0.000
N  0.391  0.391  0.000
N  0.609  0.000  0.000